Computed, not measured: an optimized crystal structure of CoReSbPb2 at the PBE-GGA level of DFT.

* formation energy (no corrections): 115.5 kJ per mole of atoms
* total magnetization: 2.37 Bohr magnetons per cell

a = 5.0224 Å, b = 5.0224 Å, c = 4.8785 Å
α = 90.00°, β = 90.00°, γ = 90.00°
Space group P4/mmm (No. 123)
Inequivalent atoms, fractional coordinates:
Co: 0.0000 0.0000 0.0000
Re: 0.5000 0.5000 0.5000
Sb: 0.0000 0.0000 0.5000
Pb: 0.0000 0.5000 0.0000

=====

Computed, not measured: an optimized crystal structure of CaGa2Hg2 at the PBE-GGA level of DFT.

* relative energy among the computed polymorphs: 0.0 kJ per mole of atoms
* formation enthalpy at 0 K: -0.2685 eV per atom
* total magnetization: 0.00 Bohr magnetons per cell

a = 4.5854 Å, b = 4.5854 Å, c = 11.1446 Å
α = 90.00°, β = 90.00°, γ = 90.00°
Space group I4/mmm (No. 139)
Inequivalent atoms, fractional coordinates:
Ca: 0.0000 0.0000 0.0000
Ga: 0.0000 0.0000 0.3899
Hg: 0.0000 0.5000 0.2500

=====

Computed, not measured: an optimized crystal structure of RbGd2Lu at the PBE-GGA level of DFT.

* formation enthalpy at 0 K: 0.2818 eV per atom
* total magnetization: 44.78 Bohr magnetons per cell

a = 3.6167 Å, b = 3.6167 Å, c = 39.8278 Å
α = 90.00°, β = 90.00°, γ = 120.00°
Space group R-3m (No. 166, hexagonal axes)
Inequivalent atoms, fractional coordinates:
Rb: 0.0000 0.0000 0.0000
Gd: 0.0000 0.0000 0.0976
Lu: 0.0000 0.0000 0.5000

=====

Computed, not measured: an optimized crystal structure of TbGdBeRh at the PBE-GGA level of DFT.

* formation enthalpy at 0 K: -0.3363 eV per atom
* total magnetization: 28.22 Bohr magnetons per cell

a = 6.9060 Å, b = 6.9060 Å, c = 6.9060 Å
α = 90.00°, β = 90.00°, γ = 90.00°
Space group F-43m (No. 216)
Inequivalent atoms, fractional coordinates:
Tb: 0.0000 0.0000 0.0000
Gd: 0.0000 0.0000 0.5000
Be: 0.2500 0.2500 0.7500
Rh: 0.2500 0.2500 0.2500

=====

Computed, not measured: an optimized crystal structure of Ba4NaSn3O12 at the PBE-GGA level of DFT.

* formation energy (no corrections): -184.2 kJ per mole of atoms
* total magnetization: 6.25 Bohr magnetons per cell

a = 8.5353 Å, b = 8.5353 Å, c = 8.5353 Å
α = 90.00°, β = 90.00°, γ = 90.00°
Space group Im-3m (No. 229)
Inequivalent atoms, fractional coordinates:
Ba: 0.2500 0.2500 0.2500
Na: 0.0000 0.0000 0.0000
Sn: 0.0000 0.0000 0.5000
O: 0.0000 0.0000 0.2659
O: 0.0000 0.2500 0.5000

=====

Computed, not measured: an optimized crystal structure of MgNpSb at the PBE-GGA level of DFT.

* relative energy among the computed polymorphs: 17.0 kJ per mole of atoms
* formation energy (no corrections): 8.1 kJ per mole of atoms
* total magnetization: 9.66 Bohr magnetons per cell

a = 3.5571 Å, b = 3.5571 Å, c = 11.9364 Å
α = 90.00°, β = 90.00°, γ = 90.00°
Space group I4mm (No. 107)
Inequivalent atoms, fractional coordinates:
Mg: 0.0000 0.0000 0.0000
Np: 0.0000 0.0000 0.6889
Sb: 0.0000 0.0000 0.3585

=====

Computed, not measured: an optimized crystal structure of Eu3PbS at the PBE-GGA level of DFT.

* formation energy (no corrections): -100.2 kJ per mole of atoms
* total magnetization: 21.11 Bohr magnetons per cell

a = 5.5173 Å, b = 5.5173 Å, c = 5.5173 Å
α = 90.00°, β = 90.00°, γ = 90.00°
Space group Pm-3m (No. 221)
Inequivalent atoms, fractional coordinates:
Eu: 0.0000 0.0000 0.5000
Pb: 0.5000 0.5000 0.5000
S: 0.0000 0.0000 0.0000

=====

Computed, not measured: an optimized crystal structure of Zr2CrPt at the PBE-GGA level of DFT.

* relative energy among the computed polymorphs: 9.3 kJ per mole of atoms
* formation enthalpy at 0 K: -0.3017 eV per atom
* total magnetization: 4.08 Bohr magnetons per cell

a = 3.5862 Å, b = 4.3283 Å, c = 9.5039 Å
α = 90.00°, β = 90.00°, γ = 90.00°
Space group Imm2 (No. 44)
Inequivalent atoms, fractional coordinates:
Zr: 0.0000 0.0000 0.0000
Zr: 0.0000 0.5000 0.2417
Cr: 0.0000 0.0000 0.4907
Pt: 0.0000 0.5000 0.7441

=====

Computed, not measured: an optimized crystal structure of Ce4Pt2N at the PBE-GGA level of DFT.

* formation energy (no corrections): -89.8 kJ per mole of atoms
* total magnetization: 5.80 Bohr magnetons per cell

a = 4.7730 Å, b = 4.7730 Å, c = 14.5501 Å
α = 90.00°, β = 90.00°, γ = 90.00°
Space group I4/mmm (No. 139)
Inequivalent atoms, fractional coordinates:
Ce: 0.0000 0.0000 0.1786
Ce: 0.0000 0.5000 0.0000
Pt: 0.0000 0.0000 0.3636
N: 0.0000 0.0000 0.0000

=====

Computed, not measured: an optimized crystal structure of ZrPa2MnC4 at the PBE-GGA level of DFT.

* formation enthalpy at 0 K: -0.1405 eV per atom
* total magnetization: 0.00 Bohr magnetons per cell

a = 3.4059 Å, b = 11.1041 Å, c = 11.9189 Å
α = 90.00°, β = 90.00°, γ = 90.00°
Space group Cmcm (No. 63)
Inequivalent atoms, fractional coordinates:
Zr: 0.0000 0.1154 0.2500
Pa: 0.0000 0.3616 0.0486
Mn: 0.0000 0.1489 0.7500
C: 0.0000 0.0000 0.0000
C: 0.0000 0.2748 0.6410
C: 0.0000 0.4368 0.2500

=====

Computed, not measured: an optimized crystal structure of MnRhC2S at the PBE-GGA level of DFT.

* formation energy (no corrections): 224.2 kJ per mole of atoms
* total magnetization: 0.39 Bohr magnetons per cell

a = 3.6508 Å, b = 3.6508 Å, c = 4.4821 Å
α = 90.00°, β = 90.00°, γ = 90.00°
Space group P4/mmm (No. 123)
Inequivalent atoms, fractional coordinates:
Mn: 0.0000 0.0000 0.0000
Rh: 0.5000 0.5000 0.0000
C: 0.0000 0.5000 0.5000
S: 0.5000 0.5000 0.5000

=====

Computed, not measured: an optimized crystal structure of GeRuAu3 at the PBE-GGA level of DFT.

* relative energy among the computed polymorphs: 0.0 kJ per mole of atoms
* formation enthalpy at 0 K: 0.9915 eV per atom
* total magnetization: 2.60 Bohr magnetons per cell

a = 4.7956 Å, b = 4.7956 Å, c = 4.7956 Å
α = 90.00°, β = 90.00°, γ = 90.00°
Space group Pm-3m (No. 221)
Inequivalent atoms, fractional coordinates:
Ge: 0.0000 0.0000 0.0000
Ru: 0.5000 0.5000 0.5000
Au: 0.0000 0.0000 0.5000

=====

Computed, not measured: an optimized crystal structure of LaAsH2 at the PBE-GGA level of DFT.

* relative energy among the computed polymorphs: 0.0 kJ per mole of atoms
* total magnetization: 0.00 Bohr magnetons per cell

a = 6.1105 Å, b = 6.1105 Å, c = 6.1105 Å
α = 90.00°, β = 90.00°, γ = 90.00°
Space group Fm-3m (No. 225)
Inequivalent atoms, fractional coordinates:
La: 0.0000 0.0000 0.0000
As: 0.0000 0.0000 0.5000
H: 0.2500 0.2500 0.2500

=====

Computed, not measured: an optimized crystal structure of TmBiPd2 at the PBE-GGA level of DFT.

* relative energy among the computed polymorphs: 0.0 kJ per mole of atoms
* formation enthalpy at 0 K: -0.7364 eV per atom
* total magnetization: 0.00 Bohr magnetons per cell

a = 6.8956 Å, b = 6.8956 Å, c = 6.8956 Å
α = 90.00°, β = 90.00°, γ = 90.00°
Space group Fm-3m (No. 225)
Inequivalent atoms, fractional coordinates:
Tm: 0.0000 0.0000 0.0000
Bi: 0.0000 0.0000 0.5000
Pd: 0.2500 0.2500 0.2500

=====

Computed, not measured: an optimized crystal structure of FeTeIr2 at the PBE-GGA level of DFT.

* formation energy (no corrections): 36.8 kJ per mole of atoms
* total magnetization: 3.75 Bohr magnetons per cell

a = 3.0628 Å, b = 3.9382 Å, c = 5.4845 Å
α = 90.00°, β = 90.00°, γ = 90.00°
Space group Pmm2 (No. 25)
Inequivalent atoms, fractional coordinates:
Fe: 0.0000 0.0000 0.0000
Te: 0.5000 0.5000 0.6646
Ir: 0.0000 0.0000 0.4628
Ir: 0.5000 0.5000 0.1571

=====

Computed, not measured: an optimized crystal structure of BeOs3S at the PBE-GGA level of DFT.

* relative energy among the computed polymorphs: 0.0 kJ per mole of atoms
* formation energy (no corrections): 125.5 kJ per mole of atoms
* total magnetization: 0.00 Bohr magnetons per cell

a = 4.2984 Å, b = 4.2984 Å, c = 4.2984 Å
α = 90.00°, β = 90.00°, γ = 90.00°
Space group Pm-3m (No. 221)
Inequivalent atoms, fractional coordinates:
Be: 0.0000 0.0000 0.0000
Os: 0.0000 0.5000 0.5000
S: 0.5000 0.5000 0.5000

=====

Computed, not measured: an optimized crystal structure of Li2YCu4 at the PBE-GGA level of DFT.

* formation enthalpy at 0 K: -0.1431 eV per atom
* total magnetization: 0.00 Bohr magnetons per cell

a = 4.7837 Å, b = 6.6601 Å, c = 6.6989 Å
α = 90.00°, β = 90.00°, γ = 90.00°
Space group Immm (No. 71)
Inequivalent atoms, fractional coordinates:
Li: 0.2501 0.0000 0.0000
Y: 0.0000 0.0000 0.5000
Cu: 0.0000 0.3095 0.1902

=====

Computed, not measured: an optimized crystal structure of NdYTm2 at the PBE-GGA level of DFT.

* relative energy among the computed polymorphs: 0.2 kJ per mole of atoms
* formation enthalpy at 0 K: 0.0108 eV per atom
* total magnetization: 0.75 Bohr magnetons per cell

a = 3.5877 Å, b = 3.5877 Å, c = 34.3668 Å
α = 90.00°, β = 90.00°, γ = 120.00°
Space group R3m (No. 160, hexagonal axes)
Inequivalent atoms, fractional coordinates:
Nd: 0.0000 0.0000 0.0000
Y: 0.0000 0.0000 0.8343
Tm: 0.0000 0.0000 0.4183
Tm: 0.0000 0.0000 0.5828

=====

Computed, not measured: an optimized crystal structure of Dy2Tm8Pu at the PBE-GGA level of DFT.

* formation enthalpy at 0 K: 0.1235 eV per atom
* total magnetization: 14.21 Bohr magnetons per cell

a = 17.7557 Å, b = 5.4170 Å, c = 7.7554 Å
α = 90.00°, β = 115.76°, γ = 90.00°
Space group C2/m (No. 12)
Inequivalent atoms, fractional coordinates:
Dy: 0.1982 0.0000 0.1965
Tm: 0.0007 0.0000 0.2181
Tm: 0.1344 0.5000 0.9219
Tm: 0.1363 0.5000 0.3516
Tm: 0.1670 0.0000 0.6689
Pu: 0.0000 0.5000 0.5000

=====

Computed, not measured: an optimized crystal structure of NaNd6Hg5 at the PBE-GGA level of DFT.

* formation enthalpy at 0 K: -0.3595 eV per atom
* total magnetization: 4.05 Bohr magnetons per cell

a = 5.4385 Å, b = 7.7069 Å, c = 16.3857 Å
α = 90.00°, β = 90.00°, γ = 90.00°
Space group Immm (No. 71)
Inequivalent atoms, fractional coordinates:
Na: 0.0000 0.0000 0.0000
Nd: 0.0000 0.2367 0.5000
Nd: 0.0000 0.2552 0.1716
Hg: 0.0000 0.0000 0.3327
Hg: 0.0000 0.5000 0.0000
Hg: 0.0000 0.5000 0.3460